DFT (GGA+U) results for crystalline KV2NiO6 at its relaxed geometry. Values from VASP.

Calculated values
Its space group is No. 15. As for the electronic total energy: -6.507 eV/atom.

Geometry as Quantum ESPRESSO input:
```
&SYSTEM
  ibrav = 0, nat = 20, ntyp = 4
/
ATOMIC_SPECIES
K 39.10 K.upf
V 50.94 V.upf
Ni 58.69 Ni.upf
O 16.00 O.upf
CELL_PARAMETERS angstrom
5.5227 -5.4080 0.0000
5.5227 5.4080 0.0000
-2.3591 0.0000 5.5932
ATOMIC_POSITIONS crystal
K 0.1069 0.8931 0.7500
K 0.8931 0.1069 0.2500
V 0.2242 0.3912 0.8261
V 0.3912 0.2242 0.3261
V 0.6088 0.7758 0.6739
V 0.7758 0.6088 0.1739
Ni 0.2189 0.7811 0.2500
Ni 0.7811 0.2189 0.7500
O 0.0293 0.2578 0.7166
O 0.1800 0.6095 0.9282
O 0.2578 0.0293 0.2166
O 0.3212 0.3640 0.5767
O 0.3640 0.3212 0.0767
O 0.3905 0.8200 0.5718
O 0.6095 0.1800 0.4282
O 0.6360 0.6788 0.9233
O 0.6788 0.6360 0.4233
O 0.7422 0.9707 0.7834
O 0.8200 0.3905 0.0718
O 0.9707 0.7422 0.2834
```